(1)
# LiCaLaTl

Crystalline LiCaLaTl at its relaxed geometry (PBE, Alexandria via LeMat-Bulk).

Properties
Crystal system: cubic
Symmetry: F-43m
N(E_F) (states/eV/cell): 3.100
Energy of formation (meV per atom): -267

Cell: 5.515 5.515 5.515 Å, 60.00 60.00 60.00°
Fractional coordinates of all 4 atoms:
Tl 0.500 0.500 0.500
Li 0.000 0.000 0.000
Ca 0.750 0.750 0.750
La 0.250 0.250 0.250


(2)
# LiCaLaTl2

Crystalline LiCaLaTl2 at its relaxed geometry (PBE, Alexandria via LeMat-Bulk).

Properties
Crystal system: trigonal
Symmetry: P3m1
N(E_F) (states/eV/cell): 4.041
Energy of formation (meV per atom): -225

Cell: 5.367 5.367 6.402 Å, 90.00 90.00 120.00°
Fractional coordinates of all 5 atoms:
Li 0.333 0.667 0.666
Ca 0.667 0.333 0.358
La 0.000 0.000 0.960
Tl 0.333 0.667 0.179
Tl 0.667 0.333 0.837


(3)
# LiCa2LaTl4

Crystalline LiCa2LaTl4 at its relaxed geometry (PBE, Alexandria via LeMat-Bulk).

Properties
Crystal system: trigonal
Symmetry: R-3m
N(E_F) (states/eV/cell): 5.286
Energy of formation (meV per atom): -362

Cell: 5.406 5.406 9.586 Å, 73.62 73.62 60.00°
Fractional coordinates of all 8 atoms:
Li 0.500 0.500 0.500
Ca 0.754 0.754 0.737
Ca 0.246 0.246 0.263
La 0.000 0.000 0.000
Tl 0.382 0.382 0.855
Tl 0.873 0.873 0.380
Tl 0.127 0.127 0.620
Tl 0.618 0.618 0.145


N(E_F) of number 1 (LiCaLaTl)?
3.100 states/eV/cell


Copy entry 3 word for word.
# LiCa2LaTl4

Crystalline LiCa2LaTl4 at its relaxed geometry (PBE, Alexandria via LeMat-Bulk).

Properties
Crystal system: trigonal
Symmetry: R-3m
N(E_F) (states/eV/cell): 5.286
Energy of formation (meV per atom): -362

Cell: 5.406 5.406 9.586 Å, 73.62 73.62 60.00°
Fractional coordinates of all 8 atoms:
Li 0.500 0.500 0.500
Ca 0.754 0.754 0.737
Ca 0.246 0.246 0.263
La 0.000 0.000 0.000
Tl 0.382 0.382 0.855
Tl 0.873 0.873 0.380
Tl 0.127 0.127 0.620
Tl 0.618 0.618 0.145